The following is a DFT calculation (PBE+U) of crystalline IrWO2F at its relaxed geometry.

a = 3.6939 Å, b = 3.6939 Å, c = 6.5250 Å
α = 90.00°, β = 90.00°, γ = 90.00°
Space group P4/mmm (No. 123)
Asymmetric unit:
Ir1 0.0000 0.0000 0.0000 (multiplicity 1)
W1 0.5000 0.5000 0.5000 (multiplicity 1)
O1 0.0000 0.5000 0.0000 (multiplicity 2)
F1 0.0000 0.0000 0.5000 (multiplicity 1)

Values from the calculation:
E: -29.03 eV/f.u.
DOS(E_F): 3.36 states/eV/f.u.
Total magnetic moment: 0.847 μB/atom